Record 1
A plane-wave DFT calculation with PBE was carried out for a relaxed structure of Ac2Tb12Au7.

```
Ac2Tb12Au7
1.0
-4.184 2.226 -1.368
5.519 4.577 -9.434
-5.347 -10.544 -0.802
Ac Tb Au
2 12 7
Cartesian
-2.092 1.113 -0.684 Ac
1.897 -0.463 -6.557 Ac
-0.431 -1.174 -9.486 Tb
1.238 3.154 -7.550 Tb
-1.393 -0.032 -4.686 Tb
-5.013 -6.097 -3.483 Tb
-3.154 -4.471 -6.523 Tb
-3.286 -2.604 -3.082 Tb
-2.589 -5.451 -0.951 Tb
-2.372 -7.741 -5.342 Tb
-0.215 -3.318 -4.744 Tb
0.329 -4.262 -7.942 Tb
4.134 2.077 -9.267 Tb
1.227 0.794 -2.461 Tb
-1.725 -5.504 -3.679 Au
-3.948 -8.011 -0.960 Au
-1.075 -6.781 -7.749 Au
-0.154 -1.719 -2.329 Au
-1.658 -1.944 -6.987 Au
1.059 1.408 -9.844 Au
0.013 2.484 -4.891 Au
```

Computed properties:
Formation energy   -0.577 eV/atom
Calculated volume   599.8 Å³ per cell

Record 2
A plane-wave DFT calculation with PBE was carried out for a relaxed structure of BeP2Se.

```
BeP2Se
1.0
10.599 -0.092 -0.054
10.262 2.655 -0.054
10.262 1.261 2.338
P Se Be
2 1 1
Cartesian
0.926 0.114 0.066 P
14.636 1.798 1.049 P
7.781 0.956 0.558 Se
23.342 2.868 1.673 Be
```

Computed properties:
Calculated volume   69.5 Å³ per cell
ΔE to the lowest computed polymorph   755 meV per atom
Raw formation energy   484.7 meV/atom

Record 3
A plane-wave DFT calculation with PBE was carried out for a relaxed structure of CaPm2Sn3.

```
CaPm2Sn3
1.0
-1.648 -1.349 -2.794
0.778 -3.243 1.106
-11.669 -0.389 7.068
Ca Pm Sn
1 2 3
Cartesian
-6.269 -2.490 2.690 Ca
-10.164 -2.620 5.049 Pm
-2.375 -2.360 0.331 Pm
0.000 0.000 0.000 Sn
-7.781 -0.260 4.713 Sn
-3.888 -0.130 2.355 Sn
```

Computed properties:
Formation energy   -0.659 eV/atom
Calculated volume   168.5 Å³ per cell

Record 4
A plane-wave DFT calculation with PBE was carried out for a relaxed structure of LaAgP4O12.

```
LaAgP4O12
1.0
13.473 0.000 0.000
0.000 7.400 -0.004
0.000 7.331 10.216
La Ag P O
4 4 16 48
Cartesian
3.775 7.460 4.892 La
2.961 11.126 10.000 La
10.512 3.606 0.212 La
9.698 7.272 5.321 La
9.736 3.669 4.428 Ag
10.474 7.335 9.536 Ag
3.737 11.062 5.784 Ag
2.999 7.397 0.676 Ag
1.524 6.457 7.814 P
11.950 8.275 2.399 P
12.138 12.892 7.702 P
5.401 5.505 7.618 P
8.260 11.941 7.507 P
5.527 5.668 2.082 P
1.679 4.736 3.106 P
1.209 9.334 7.190 P
8.072 9.226 2.594 P
5.058 8.402 8.214 P
11.795 9.996 7.106 P
8.415 6.330 1.998 P
7.946 9.063 8.130 P
5.213 2.791 2.705 P
12.264 5.398 3.022 P
1.335 1.840 2.510 P
1.460 2.114 1.033 O
2.188 8.126 3.067 O
5.130 6.814 8.511 O
8.207 7.941 7.170 O
11.316 5.590 4.178 O
5.266 6.791 3.043 O
8.197 8.952 4.071 O
6.999 5.804 1.428 O
11.285 6.606 7.146 O
1.064 7.982 8.067 O
13.287 8.971 2.938 O
9.479 5.798 1.076 O
4.811 9.630 4.039 O
12.410 6.749 2.145 O
11.689 9.752 8.583 O
6.924 12.637 8.046 O
0.187 5.760 7.274 O
6.474 8.927 8.784 O
1.784 4.979 1.629 O
4.227 2.718 1.580 O
8.521 6.087 3.475 O
0.263 5.262 3.676 O
8.925 2.940 2.037 O
10.731 9.464 6.184 O
10.964 8.348 3.524 O
2.509 6.384 6.689 O
3.995 8.933 9.137 O
11.548 1.436 1.065 O
8.895 9.256 9.286 O
5.276 5.779 6.141 O
4.952 8.645 6.737 O
12.003 4.275 2.061 O
13.211 9.470 6.536 O
1.925 13.295 9.147 O
9.246 12.014 8.632 O
4.579 5.476 0.926 O
5.673 4.317 2.959 O
2.158 9.142 6.035 O
8.662 5.102 6.173 O
4.549 11.791 8.175 O
8.344 7.917 1.701 O
12.013 12.618 9.180 O
6.550 2.095 2.166 O
11.866 11.583 6.809 O
2.742 5.268 4.028 O
1.471 10.456 8.151 O
1.607 3.149 3.403 O
7.800 10.415 7.254 O
```

Computed properties:
Calculated volume   1019.1 Å³ per cell
Raw formation energy   -2262.7 meV/atom